Entry from Alexandria: a relaxed TbFeO3 crystal (PBE with a Hubbard U).

Computed properties:
As for the volume: 11.72 A^3/atom. The crystal system is orthorhombic. The raw total energy comes out at -7.570 eV per atom.

Unit cell a=5.659 b=7.733 c=5.355 alpha=90.00 beta=90.00 gamma=90.00
Atoms (fractional coordinates):
Tb1 0.068 0.250 0.019
Tb2 0.432 0.750 0.519
Tb3 0.568 0.250 0.481
Tb4 0.932 0.750 0.981
Fe1 0.000 0.000 0.500
Fe2 0.000 0.500 0.500
Fe3 0.500 0.000 0.000
Fe4 0.500 0.500 0.000
O1 0.041 0.750 0.386
O2 0.196 0.559 0.807
O3 0.196 0.941 0.807
O4 0.304 0.059 0.307
O5 0.304 0.441 0.307
O6 0.459 0.250 0.886
O7 0.541 0.750 0.114
O8 0.696 0.559 0.693
O9 0.696 0.941 0.693
O10 0.804 0.059 0.193
O11 0.804 0.441 0.193
O12 0.959 0.250 0.614


Entry from Alexandria: a relaxed Tb2FeO5 crystal (PBE with a Hubbard U).

Computed properties:
As for the volume: 13.78 A^3/atom. The crystal system is orthorhombic. The raw total energy comes out at -7.610 eV per atom.

Unit cell a=10.458 b=3.731 c=11.305 alpha=90.00 beta=90.00 gamma=90.00
Atoms (fractional coordinates):
Tb1 0.100 0.250 0.221
Tb2 0.136 0.250 0.558
Tb3 0.364 0.750 0.058
Tb4 0.400 0.750 0.721
Tb5 0.600 0.250 0.279
Tb6 0.636 0.250 0.942
Tb7 0.864 0.750 0.442
Tb8 0.900 0.750 0.779
Fe1 0.187 0.250 0.877
Fe2 0.313 0.750 0.377
Fe3 0.687 0.250 0.623
Fe4 0.813 0.750 0.123
O1 0.012 0.750 0.602
O2 0.017 0.250 0.833
O3 0.218 0.250 0.040
O4 0.236 0.750 0.226
O5 0.247 0.750 0.881
O6 0.253 0.250 0.381
O7 0.264 0.250 0.726
O8 0.282 0.750 0.540
O9 0.483 0.750 0.333
O10 0.488 0.250 0.102
O11 0.512 0.750 0.898
O12 0.517 0.250 0.667
O13 0.718 0.250 0.460
O14 0.736 0.750 0.274
O15 0.747 0.750 0.619
O16 0.753 0.250 0.119
O17 0.764 0.250 0.774
O18 0.782 0.750 0.960
O19 0.983 0.750 0.167
O20 0.988 0.250 0.398


Entry from Alexandria: a relaxed TbTl2FeO6 crystal (PBE with a Hubbard U).

Computed properties:
As for the volume: 13.28 A^3/atom. The crystal system is trigonal. The raw total energy comes out at -5.836 eV per atom.

Unit cell a=5.858 b=5.858 c=5.858 alpha=57.16 beta=57.16 gamma=57.16
Atoms (fractional coordinates):
Tb1 0.000 0.000 0.000
Tl1 0.266 0.266 0.266
Tl2 0.779 0.779 0.779
Fe1 0.490 0.490 0.490
O1 0.143 0.697 0.382
O2 0.240 0.609 0.839
O3 0.382 0.143 0.697
O4 0.609 0.839 0.240
O5 0.697 0.382 0.143
O6 0.839 0.240 0.609


Entry from Alexandria: a relaxed FeTcO crystal (PBE with a Hubbard U).

Computed properties:
As for the volume: 12.07 A^3/atom. The crystal system is monoclinic. The raw total energy comes out at -7.147 eV per atom.

Unit cell a=4.850 b=2.770 c=5.393 alpha=90.00 beta=91.70 gamma=90.00
Atoms (fractional coordinates):
Fe1 0.000 0.000 0.000
Fe2 0.403 0.000 0.338
Tc1 0.481 0.500 0.913
Tc2 0.859 0.500 0.396
O1 0.246 0.500 0.578
O2 0.747 0.000 0.699


Entry from Alexandria: a relaxed FeTc3O crystal (PBE with a Hubbard U).

Computed properties:
As for the volume: 13.36 A^3/atom. The crystal system is cubic. The raw total energy comes out at -8.087 eV per atom.

Unit cell a=4.057 b=4.057 c=4.057 alpha=90.00 beta=90.00 gamma=90.00
Atoms (fractional coordinates):
Fe1 0.000 0.000 0.000
Tc1 0.000 0.500 0.500
Tc2 0.500 0.000 0.500
Tc3 0.500 0.500 0.000
O1 0.500 0.500 0.500


Entry from Alexandria: a relaxed FeTc2O8 crystal (PBE with a Hubbard U).

Computed properties:
As for the volume: 20.08 A^3/atom. The crystal system is monoclinic. The raw total energy comes out at -7.304 eV per atom.

Unit cell a=6.909 b=6.909 c=5.263 alpha=98.22 beta=98.22 gamma=63.10
Atoms (fractional coordinates):
Fe1 0.000 0.000 0.000
Tc1 0.172 0.172 0.664
Tc2 0.828 0.828 0.336
O1 0.068 0.687 0.181
O2 0.112 0.112 0.331
O3 0.313 0.932 0.819
O4 0.319 0.319 0.696
O5 0.681 0.681 0.304
O6 0.687 0.068 0.181
O7 0.888 0.888 0.669
O8 0.932 0.313 0.819


Entry from Alexandria: a relaxed FeTcO crystal (PBE with a Hubbard U).

Computed properties:
As for the volume: 12.66 A^3/atom. The crystal system is trigonal. The raw total energy comes out at -7.350 eV per atom.

Unit cell a=2.858 b=2.858 c=5.371 alpha=90.00 beta=90.00 gamma=120.00
Atoms (fractional coordinates):
Fe1 0.000 0.000 0.000
Tc1 0.333 0.667 0.381
O1 0.000 0.000 0.615


Entry from Alexandria: a relaxed FeTcO4 crystal (PBE with a Hubbard U).

Computed properties:
As for the volume: 10.86 A^3/atom. The crystal system is orthorhombic. The raw total energy comes out at -7.341 eV per atom.

Unit cell a=5.079 b=4.546 c=5.643 alpha=90.00 beta=90.00 gamma=90.00
Atoms (fractional coordinates):
Fe1 0.000 0.000 0.000
Fe2 0.000 0.500 0.500
Tc1 0.500 0.000 0.311
Tc2 0.500 0.500 0.811
O1 0.177 0.223 0.280
O2 0.177 0.277 0.780
O3 0.342 0.741 0.543
O4 0.342 0.759 0.043
O5 0.658 0.241 0.043
O6 0.658 0.259 0.543
O7 0.823 0.723 0.780
O8 0.823 0.777 0.280